(1)
This record from Alexandria via LeMat-Bulk describes a relaxed structure of SrICl6. The functional is PBE.

Unit cell a=6.432 b=6.432 c=7.797 alpha=108.33 beta=108.33 gamma=99.16
Positions (direct):
Cl (0.017, 0.660, 0.681)
Cl (0.731, 0.731, 0.062)
Sr (0.000, 0.000, 0.500)
I (0.000, 0.000, 0.000)
Cl (0.340, 0.983, 0.319)
Cl (0.660, 0.017, 0.681)
Cl (0.983, 0.340, 0.319)
Cl (0.269, 0.269, 0.938)

As for the uncorrected formation energy: -0.869 eV/atom. As for the space-group type: C2/m (12).


(2)
This record from Alexandria via LeMat-Bulk describes a relaxed structure of Pm5HoAl6. The functional is PBE.

Unit cell a=5.207 b=7.354 c=9.017 alpha=114.07 beta=106.83 gamma=89.99
Positions (direct):
Pm (0.000, 0.500, 0.000)
Al (0.836, 0.593, 0.672)
Al (0.500, 0.763, 0.000)
Pm (0.664, 0.664, 0.328)
Pm (0.329, 0.829, 0.658)
Al (0.164, 0.407, 0.328)
Al (0.500, 0.237, 0.000)
Pm (0.671, 0.171, 0.342)
Pm (0.336, 0.336, 0.672)
Al (0.836, 0.079, 0.672)
Ho (0.000, 0.000, 0.000)
Al (0.164, 0.921, 0.328)

The calculation puts the formation energy at -4.47 eV/f.u. As for the space-group type: Immm (71).


(3)
This record from Alexandria via LeMat-Bulk describes a relaxed structure of Tm2Tl3PbSe6. The functional is PBE.

Unit cell a=4.179 b=9.009 c=9.953 alpha=106.71 beta=102.12 gamma=90.00
Positions (direct):
Se (0.323, 0.442, 0.647)
Se (0.665, 0.119, 0.330)
Se (0.335, 0.881, 0.670)
Se (0.016, 0.253, 0.032)
Se (0.984, 0.747, 0.968)
Tm (0.830, 0.664, 0.661)
Tl (0.165, 0.834, 0.331)
Tm (0.170, 0.336, 0.339)
Tl (0.500, 0.500, 0.000)
Tl (0.835, 0.166, 0.669)
Se (0.677, 0.558, 0.353)
Pb (0.500, 0.000, 0.000)

As for the uncorrected formation energy: -1.038 eV/atom. As for the space-group type: C2/m (12).


(4)
This record from Alexandria via LeMat-Bulk describes a relaxed structure of GaIrAu2. The functional is PBE.

Unit cell a=2.804 b=2.804 c=10.402 alpha=82.26 beta=82.26 gamma=60.00
Positions (direct):
Au (0.089, 0.089, 0.733)
Au (0.911, 0.911, 0.267)
Ir (0.000, 0.000, 0.000)
Ga (0.500, 0.500, 0.500)

The calculation puts the formation energy at 1.30 eV/f.u. As for the space-group type: R-3m (166).


(5)
This record from Alexandria via LeMat-Bulk describes a relaxed structure of LaThO4. The functional is PBE.

Unit cell a=5.697 b=5.697 c=6.947 alpha=114.21 beta=114.21 gamma=90.00
Positions (direct):
O (0.136, 0.125, 0.750)
O (0.875, 0.386, 0.250)
La (0.750, 0.250, 0.500)
Th (0.250, 0.750, 0.500)
O (0.136, 0.625, 0.750)
O (0.614, 0.125, 0.750)
O (0.375, 0.864, 0.250)
O (0.614, 0.625, 0.750)
O (0.875, 0.864, 0.250)
La (0.000, 0.000, 0.000)
Th (0.500, 0.500, 0.000)
O (0.375, 0.386, 0.250)

As for the uncorrected formation energy: -3.293 eV/atom. As for the space-group type: I4_1/amd (141).


(6)
This record from Alexandria via LeMat-Bulk describes a relaxed structure of LaMn2BAu. The functional is PBE.

Unit cell a=4.304 b=4.473 c=4.304 alpha=90.00 beta=90.00 gamma=90.00
Positions (direct):
Mn (0.000, 0.000, 0.500)
B (0.000, 0.000, 0.000)
La (0.500, 0.500, 0.500)
Au (0.000, 0.500, 0.000)
Mn (0.500, 0.000, 0.000)

The calculation puts the formation energy at 0.46 eV/f.u. As for the space-group type: P4/mmm (123).


(7)
This record from Alexandria via LeMat-Bulk describes a relaxed structure of SiPBr2. The functional is PBE.

Unit cell a=4.906 b=4.906 c=4.906 alpha=60.00 beta=60.00 gamma=60.00
Positions (direct):
Br (0.250, 0.250, 0.250)
Br (0.000, 0.000, 0.000)
P (0.500, 0.500, 0.500)
Si (0.750, 0.750, 0.750)

As for the uncorrected formation energy: 0.834 eV/atom. As for the space-group type: F-43m (216).


(8)
This record from Alexandria via LeMat-Bulk describes a relaxed structure of SiP3. The functional is PBE.

Unit cell a=3.444 b=2.487 c=7.393 alpha=71.20 beta=90.00 gamma=90.00
Positions (direct):
P (0.000, 0.995, 0.504)
P (0.500, 0.750, 0.750)
Si (0.500, 0.250, 0.250)
P (0.000, 0.505, 0.996)

As for the uncorrected formation energy: 0.140 eV/atom. As for the space-group type: P2/m (10).


(9)
This record from Alexandria via LeMat-Bulk describes a relaxed structure of MgBeI2N. The functional is PBE.

Unit cell a=5.780 b=5.780 c=4.072 alpha=90.00 beta=90.00 gamma=90.00
Positions (direct):
Mg (0.000, 0.000, 0.000)
I (0.500, 0.000, 0.000)
I (0.000, 0.500, 0.000)
N (0.000, 0.000, 0.500)
Be (0.500, 0.500, 0.500)

As for the uncorrected formation energy: 0.773 eV/atom. As for the space-group type: P4/mmm (123).


(10)
This record from Alexandria via LeMat-Bulk describes a relaxed structure of PaPt4Rh2. The functional is PBE.

Unit cell a=6.914 b=6.914 c=6.918 alpha=110.82 beta=110.33 gamma=107.26
Positions (direct):
Rh (0.396, 0.837, 0.933)
Pa (0.251, 0.751, 0.500)
Pt (0.237, 0.466, 0.975)
Rh (0.158, 0.098, 0.555)
Pt (0.921, 0.561, 0.713)
Pt (0.536, 0.505, 0.771)
Pt (0.734, 0.766, 0.229)
Pt (0.792, 0.081, 0.643)
Rh (0.904, 0.463, 0.067)
Pt (0.492, 0.262, 0.025)
Pt (0.438, 0.149, 0.357)
Pa (0.001, 0.001, 0.000)
Pt (0.847, 0.208, 0.287)
Rh (0.543, 0.603, 0.444)

The calculation puts the formation energy at -2.69 eV/f.u. As for the space-group type: C2 (5).


(11)
This record from Alexandria via LeMat-Bulk describes a relaxed structure of Ba2LiW. The functional is PBE.

Unit cell a=3.350 b=3.360 c=11.630 alpha=73.43 beta=90.00 gamma=90.00
Positions (direct):
W (0.500, 0.750, 0.750)
Ba (0.000, 0.033, 0.970)
Ba (0.000, 0.467, 0.530)
Li (0.500, 0.250, 0.250)

The calculation puts the formation energy at 3.95 eV/f.u. As for the space-group type: P2/m (10).


(12)
This record from Alexandria via LeMat-Bulk describes a relaxed structure of InMo2As. The functional is PBE.

Unit cell a=4.541 b=4.541 c=3.265 alpha=90.00 beta=90.00 gamma=90.03
Positions (direct):
As (0.500, 0.000, 0.500)
Mo (0.500, 0.500, 0.000)
In (0.000, 0.500, 0.500)
Mo (0.000, 0.000, 0.000)

The calculation puts the formation energy at 1.66 eV/f.u. As for the space-group type: P4/mmm (123).